Record 1
Material: Fe6Hg2Au
Method: DFT, GGA-PBE
State: optimized geometry Values from VASP.

Output
Energy of formation = 409 meV per atom
VASP energy = -5.5597 eV/atom

Geometry as Quantum ESPRESSO input:
```
&SYSTEM
  ibrav = 0, nat = 9, ntyp = 3
/
ATOMIC_SPECIES
Fe 55.84 Fe.upf
Hg 200.59 Hg.upf
Au 196.97 Au.upf
CELL_PARAMETERS angstrom
4.605 -1.991 0.000
4.605 1.991 0.000
-3.326 0.000 7.097
ATOMIC_POSITIONS crystal
Fe 0.131 0.131 0.069
Fe 0.235 0.235 0.842
Fe 0.262 0.262 0.405
Fe 0.738 0.738 0.595
Fe 0.765 0.765 0.158
Fe 0.869 0.869 0.931
Hg 0.494 0.494 0.218
Hg 0.506 0.506 0.782
Au 0.000 0.000 0.500
```



Record 2
Material: InFeHgAu
Method: DFT, GGA-PBE
State: optimized geometry Values from VASP.

Output
E above lowest polymorph = 0.0000 eV/atom
VASP energy = -3.3782 eV/atom

Geometry as Quantum ESPRESSO input:
```
&SYSTEM
  ibrav = 0, nat = 4, ntyp = 4
/
ATOMIC_SPECIES
In 114.82 In.upf
Fe 55.84 Fe.upf
Hg 200.59 Hg.upf
Au 196.97 Au.upf
CELL_PARAMETERS angstrom
0.000 3.346 3.346
3.346 0.000 3.346
3.346 3.346 0.000
ATOMIC_POSITIONS crystal
In 0.000 0.000 0.000
Fe 0.250 0.250 0.250
Hg 0.500 0.500 0.500
Au 0.750 0.750 0.750
```



Record 3
Material: FeSiHgAu
Method: DFT, GGA-PBE
State: optimized geometry Values from VASP.

Output
E above lowest polymorph = 0.0000 eV/atom
VASP energy = -3.8992 eV/atom

Geometry as Quantum ESPRESSO input:
```
&SYSTEM
  ibrav = 0, nat = 4, ntyp = 4
/
ATOMIC_SPECIES
Fe 55.84 Fe.upf
Si 28.09 Si.upf
Hg 200.59 Hg.upf
Au 196.97 Au.upf
CELL_PARAMETERS angstrom
0.000 3.220 3.220
3.220 0.000 3.220
3.220 3.220 0.000
ATOMIC_POSITIONS crystal
Fe 0.000 0.000 0.000
Si 0.750 0.750 0.750
Hg 0.250 0.250 0.250
Au 0.500 0.500 0.500
```



Record 4
Material: FeSnHgAu
Method: DFT, GGA-PBE
State: optimized geometry Values from VASP.

Output
E above lowest polymorph = 0.0000 eV/atom
VASP energy = -3.6588 eV/atom

Geometry as Quantum ESPRESSO input:
```
&SYSTEM
  ibrav = 0, nat = 4, ntyp = 4
/
ATOMIC_SPECIES
Fe 55.84 Fe.upf
Sn 118.71 Sn.upf
Hg 200.59 Hg.upf
Au 196.97 Au.upf
CELL_PARAMETERS angstrom
0.000 3.374 3.374
3.374 0.000 3.374
3.374 3.374 0.000
ATOMIC_POSITIONS crystal
Fe 0.000 0.000 0.000
Sn 0.750 0.750 0.750
Hg 0.250 0.250 0.250
Au 0.500 0.500 0.500
```



Record 5
Material: HoFeAu
Method: DFT, GGA-PBE
State: optimized geometry Values from VASP.

Output
Energy of formation = 428 meV per atom
VASP energy = -4.9561 eV/atom

Geometry as Quantum ESPRESSO input:
```
&SYSTEM
  ibrav = 0, nat = 3, ntyp = 3
/
ATOMIC_SPECIES
Ho 164.93 Ho.upf
Fe 55.84 Fe.upf
Au 196.97 Au.upf
CELL_PARAMETERS angstrom
0.000 3.281 3.281
3.281 0.000 3.281
3.281 3.281 0.000
ATOMIC_POSITIONS crystal
Ho 0.000 0.000 0.000
Fe 0.250 0.250 0.250
Au 0.750 0.750 0.750
```



Record 6
Material: HoFeAu
Method: DFT, GGA-PBE
State: optimized geometry Values from VASP.

Output
Energy of formation = 38 meV per atom
VASP energy = -5.3460 eV/atom

Geometry as Quantum ESPRESSO input:
```
&SYSTEM
  ibrav = 0, nat = 3, ntyp = 3
/
ATOMIC_SPECIES
Ho 164.93 Ho.upf
Fe 55.84 Fe.upf
Au 196.97 Au.upf
CELL_PARAMETERS angstrom
0.000 3.155 3.155
3.155 0.000 3.155
3.155 3.155 0.000
ATOMIC_POSITIONS crystal
Ho 0.000 0.000 0.000
Fe 0.750 0.750 0.750
Au 0.500 0.500 0.500
```



Record 7
Material: InFeIrAu
Method: DFT, GGA-PBE
State: optimized geometry Values from VASP.

Output
E above lowest polymorph = 0.0000 eV/atom
VASP energy = -5.5965 eV/atom

Geometry as Quantum ESPRESSO input:
```
&SYSTEM
  ibrav = 0, nat = 4, ntyp = 4
/
ATOMIC_SPECIES
In 114.82 In.upf
Fe 55.84 Fe.upf
Ir 192.22 Ir.upf
Au 196.97 Au.upf
CELL_PARAMETERS angstrom
0.000 3.199 3.199
3.199 0.000 3.199
3.199 3.199 0.000
ATOMIC_POSITIONS crystal
In 0.000 0.000 0.000
Fe 0.250 0.250 0.250
Ir 0.750 0.750 0.750
Au 0.500 0.500 0.500
```



Record 8
Material: MgInFeAu
Method: DFT, GGA-PBE
State: optimized geometry Values from VASP.

Output
E above lowest polymorph = 0.0000 eV/atom
VASP energy = -3.9778 eV/atom

Geometry as Quantum ESPRESSO input:
```
&SYSTEM
  ibrav = 0, nat = 4, ntyp = 4
/
ATOMIC_SPECIES
Mg 24.30 Mg.upf
In 114.82 In.upf
Fe 55.84 Fe.upf
Au 196.97 Au.upf
CELL_PARAMETERS angstrom
0.000 3.272 3.272
3.272 0.000 3.272
3.272 3.272 0.000
ATOMIC_POSITIONS crystal
Mg 0.000 0.000 0.000
In 0.500 0.500 0.500
Fe 0.750 0.750 0.750
Au 0.250 0.250 0.250
```



Record 9
Material: InFeMoAu
Method: DFT, GGA-PBE
State: optimized geometry Values from VASP.

Output
E above lowest polymorph = 0.0000 eV/atom
VASP energy = -5.9155 eV/atom

Geometry as Quantum ESPRESSO input:
```
&SYSTEM
  ibrav = 0, nat = 4, ntyp = 4
/
ATOMIC_SPECIES
In 114.82 In.upf
Fe 55.84 Fe.upf
Mo 95.94 Mo.upf
Au 196.97 Au.upf
CELL_PARAMETERS angstrom
0.000 3.231 3.231
3.231 0.000 3.231
3.231 3.231 0.000
ATOMIC_POSITIONS crystal
In 0.000 0.000 0.000
Fe 0.250 0.250 0.250
Mo 0.500 0.500 0.500
Au 0.750 0.750 0.750
```



Record 10
Material: NbInFeAu
Method: DFT, GGA-PBE
State: optimized geometry Values from VASP.

Output
E above lowest polymorph = 0.0000 eV/atom
VASP energy = -5.9868 eV/atom

Geometry as Quantum ESPRESSO input:
```
&SYSTEM
  ibrav = 0, nat = 4, ntyp = 4
/
ATOMIC_SPECIES
Nb 92.91 Nb.upf
In 114.82 In.upf
Fe 55.84 Fe.upf
Au 196.97 Au.upf
CELL_PARAMETERS angstrom
0.000 3.257 3.257
3.257 0.000 3.257
3.257 3.257 0.000
ATOMIC_POSITIONS crystal
Nb 0.000 0.000 0.000
In 0.500 0.500 0.500
Fe 0.750 0.750 0.750
Au 0.250 0.250 0.250
```



Record 11
Material: NbInFeAu
Method: DFT, GGA-PBE
State: optimized geometry Values from VASP.

Output
E above lowest polymorph = 0.1122 eV/atom
VASP energy = -5.8746 eV/atom

Geometry as Quantum ESPRESSO input:
```
&SYSTEM
  ibrav = 0, nat = 4, ntyp = 4
/
ATOMIC_SPECIES
Nb 92.91 Nb.upf
In 114.82 In.upf
Fe 55.84 Fe.upf
Au 196.97 Au.upf
CELL_PARAMETERS angstrom
0.000 3.264 3.264
3.264 0.000 3.264
3.264 3.264 0.000
ATOMIC_POSITIONS crystal
Nb 0.000 0.000 0.000
In 0.250 0.250 0.250
Fe 0.500 0.500 0.500
Au 0.750 0.750 0.750
```



Record 12
Material: InFePdAu
Method: DFT, GGA-PBE
State: optimized geometry Values from VASP.

Output
E above lowest polymorph = 0.0000 eV/atom
VASP energy = -4.9319 eV/atom

Geometry as Quantum ESPRESSO input:
```
&SYSTEM
  ibrav = 0, nat = 4, ntyp = 4
/
ATOMIC_SPECIES
In 114.82 In.upf
Fe 55.84 Fe.upf
Pd 106.42 Pd.upf
Au 196.97 Au.upf
CELL_PARAMETERS angstrom
0.000 3.217 3.217
3.217 0.000 3.217
3.217 3.217 0.000
ATOMIC_POSITIONS crystal
In 0.000 0.000 0.000
Fe 0.250 0.250 0.250
Pd 0.750 0.750 0.750
Au 0.500 0.500 0.500
```



Record 13
Material: InFeReAu
Method: DFT, GGA-PBE
State: optimized geometry Values from VASP.

Output
E above lowest polymorph = 0.0000 eV/atom
VASP energy = -6.0901 eV/atom

Geometry as Quantum ESPRESSO input:
```
&SYSTEM
  ibrav = 0, nat = 4, ntyp = 4
/
ATOMIC_SPECIES
In 114.82 In.upf
Fe 55.84 Fe.upf
Re 186.21 Re.upf
Au 196.97 Au.upf
CELL_PARAMETERS angstrom
0.000 3.201 3.201
3.201 0.000 3.201
3.201 3.201 0.000
ATOMIC_POSITIONS crystal
In 0.000 0.000 0.000
Fe 0.250 0.250 0.250
Re 0.500 0.500 0.500
Au 0.750 0.750 0.750
```



Record 14
Material: InFeAuSe2S
Method: DFT, GGA-PBE
State: optimized geometry Values from VASP.

Output
VASP energy = -4.4211 eV/atom

Geometry as Quantum ESPRESSO input:
```
&SYSTEM
  ibrav = 0, nat = 12, ntyp = 5
/
ATOMIC_SPECIES
In 114.82 In.upf
Fe 55.84 Fe.upf
Au 196.97 Au.upf
Se 78.96 Se.upf
S 32.06 S.upf
CELL_PARAMETERS angstrom
1.767 -7.779 0.000
1.767 7.779 0.000
0.000 0.000 9.524
ATOMIC_POSITIONS crystal
In 0.162 0.838 0.750
In 0.838 0.162 0.250
Fe 0.500 0.500 0.000
Fe 0.500 0.500 0.500
Au 0.199 0.801 0.250
Au 0.801 0.199 0.750
Se 0.106 0.894 0.029
Se 0.106 0.894 0.471
Se 0.894 0.106 0.529
Se 0.894 0.106 0.971
S 0.465 0.535 0.250
S 0.535 0.465 0.750
```



Record 15
Material: InFeTeAuS2
Method: DFT, GGA-PBE
State: optimized geometry Values from VASP.

Output
VASP energy = -4.4237 eV/atom

Geometry as Quantum ESPRESSO input:
```
&SYSTEM
  ibrav = 0, nat = 12, ntyp = 5
/
ATOMIC_SPECIES
In 114.82 In.upf
Fe 55.84 Fe.upf
Te 127.60 Te.upf
Au 196.97 Au.upf
S 32.06 S.upf
CELL_PARAMETERS angstrom
1.663 -7.437 0.000
1.663 7.437 0.000
0.000 0.000 10.284
ATOMIC_POSITIONS crystal
In 0.193 0.807 0.750
In 0.807 0.193 0.250
Fe 0.500 0.500 0.000
Fe 0.500 0.500 0.500
Te 0.481 0.519 0.250
Te 0.519 0.481 0.750
Au 0.157 0.843 0.250
Au 0.843 0.157 0.750
S 0.108 0.892 0.011
S 0.108 0.892 0.489
S 0.892 0.108 0.511
S 0.892 0.108 0.989
```



Record 16
Material: InFeAuSe3
Method: DFT, GGA-PBE
State: optimized geometry Values from VASP.

Output
VASP energy = -4.2932 eV/atom

Geometry as Quantum ESPRESSO input:
```
&SYSTEM
  ibrav = 0, nat = 12, ntyp = 4
/
ATOMIC_SPECIES
In 114.82 In.upf
Fe 55.84 Fe.upf
Au 196.97 Au.upf
Se 78.96 Se.upf
CELL_PARAMETERS angstrom
1.817 -7.290 0.000
1.817 7.290 0.000
0.000 0.000 9.845
ATOMIC_POSITIONS crystal
In 0.182 0.818 0.750
In 0.818 0.182 0.250
Fe 0.500 0.500 0.000
Fe 0.500 0.500 0.500
Au 0.172 0.828 0.250
Au 0.828 0.172 0.750
Se 0.108 0.892 0.015
Se 0.108 0.892 0.485
Se 0.464 0.536 0.250
Se 0.536 0.464 0.750
Se 0.892 0.108 0.515
Se 0.892 0.108 0.985
```



Record 17
Material: InFeTeAuSe2
Method: DFT, GGA-PBE
State: optimized geometry Values from VASP.

Output
VASP energy = -4.2143 eV/atom

Geometry as Quantum ESPRESSO input:
```
&SYSTEM
  ibrav = 0, nat = 12, ntyp = 5
/
ATOMIC_SPECIES
In 114.82 In.upf
Fe 55.84 Fe.upf
Te 127.60 Te.upf
Au 196.97 Au.upf
Se 78.96 Se.upf
CELL_PARAMETERS angstrom
1.728 -7.364 0.000
1.728 7.364 0.000
0.000 0.000 10.664
ATOMIC_POSITIONS crystal
In 0.187 0.813 0.750
In 0.813 0.187 0.250
Fe 0.500 0.500 0.000
Fe 0.500 0.500 0.500
Te 0.495 0.505 0.750
Te 0.505 0.495 0.250
Au 0.167 0.833 0.250
Au 0.833 0.167 0.750
Se 0.115 0.885 0.502
Se 0.115 0.885 0.998
Se 0.885 0.115 0.002
Se 0.885 0.115 0.498
```



Record 18
Material: TaInFeAu
Method: DFT, GGA-PBE
State: optimized geometry Values from VASP.

Output
E above lowest polymorph = 0.0000 eV/atom
VASP energy = -6.3775 eV/atom

Geometry as Quantum ESPRESSO input:
```
&SYSTEM
  ibrav = 0, nat = 4, ntyp = 4
/
ATOMIC_SPECIES
Ta 180.95 Ta.upf
In 114.82 In.upf
Fe 55.84 Fe.upf
Au 196.97 Au.upf
CELL_PARAMETERS angstrom
0.000 3.249 3.249
3.249 0.000 3.249
3.249 3.249 0.000
ATOMIC_POSITIONS crystal
Ta 0.000 0.000 0.000
In 0.500 0.500 0.500
Fe 0.750 0.750 0.750
Au 0.250 0.250 0.250
```



Record 19
Material: TaInFeAu
Method: DFT, GGA-PBE
State: optimized geometry Values from VASP.

Output
E above lowest polymorph = 0.1577 eV/atom
VASP energy = -6.2198 eV/atom

Geometry as Quantum ESPRESSO input:
```
&SYSTEM
  ibrav = 0, nat = 4, ntyp = 4
/
ATOMIC_SPECIES
Ta 180.95 Ta.upf
In 114.82 In.upf
Fe 55.84 Fe.upf
Au 196.97 Au.upf
CELL_PARAMETERS angstrom
0.000 3.258 3.258
3.258 0.000 3.258
3.258 3.258 0.000
ATOMIC_POSITIONS crystal
Ta 0.000 0.000 0.000
In 0.250 0.250 0.250
Fe 0.500 0.500 0.500
Au 0.750 0.750 0.750
```



Record 20
Material: InFeTe3Au
Method: DFT, GGA-PBE
State: optimized geometry Values from VASP.

Output
VASP energy = -4.0114 eV/atom

Geometry as Quantum ESPRESSO input:
```
&SYSTEM
  ibrav = 0, nat = 12, ntyp = 4
/
ATOMIC_SPECIES
In 114.82 In.upf
Fe 55.84 Fe.upf
Te 127.60 Te.upf
Au 196.97 Au.upf
CELL_PARAMETERS angstrom
1.904 -8.021 0.000
1.904 8.021 0.000
0.000 0.000 10.427
ATOMIC_POSITIONS crystal
In 0.213 0.787 0.750
In 0.787 0.213 0.250
Fe 0.500 0.500 0.000
Fe 0.500 0.500 0.500
Te 0.109 0.891 0.519
Te 0.109 0.891 0.981
Te 0.469 0.531 0.750
Te 0.531 0.469 0.250
Te 0.891 0.109 0.019
Te 0.891 0.109 0.481
Au 0.164 0.836 0.250
Au 0.836 0.164 0.750
```